Record 1
The following is a DFT calculation (PBE) of a relaxed structure of AgSnB.

```
AgSnB
1.0
3.1449 0.0000 0.0000
-1.0110 6.0008 0.0000
-0.7311 -2.4849 5.8822
Ag Sn B
2 2 2
direct
0.1533 0.3762 0.2877
0.8467 0.6238 0.7123
0.2310 0.2107 0.7082
0.7690 0.7893 0.2918
0.2528 0.0211 0.9817
0.7472 0.9789 0.0183
```

Values from the calculation:
spin magnetization: 0.000 μB/cell
space-group type: P-1 (2)
final energy: -25.3 eV for the cell shown
Fermi-level density of states: 2.4 states/eV per cell

=====

Record 2
The following is a DFT calculation (PBE) of a relaxed structure of Re2SnRuN.

```
Re2SnRuN
1.0
4.8933 0.0000 0.0000
0.0000 4.8933 0.0000
0.0000 0.0000 3.6637
Re Sn Ru N
2 1 1 1
direct
0.0000 0.5000 0.0000
0.5000 0.0000 0.0000
0.0000 0.0000 0.5000
0.5000 0.5000 0.0000
0.5000 0.5000 0.5000
```

Values from the calculation:
spin magnetization: 0.000 μB/cell
space-group type: P4/mmm (123)
formation energy from raw total energies: 1.588 eV/atom
Fermi-level density of states: 6.3 states/eV per cell

=====

Record 3
The following is a DFT calculation (PBE) of a relaxed structure of NiOs.

```
NiOs
1.0
4.1978 0.0000 0.0000
0.0000 7.8312 0.0000
0.0000 0.0000 4.6456
Ni Os
6 6
direct
0.2500 0.0832 0.0843
0.2500 0.2500 0.6018
0.2500 0.4168 0.0843
0.7500 0.5832 0.9157
0.7500 0.7500 0.3982
0.7500 0.9168 0.9157
0.2500 0.5847 0.5844
0.2500 0.7500 0.0800
0.2500 0.9153 0.5844
0.7500 0.0847 0.4156
0.7500 0.2500 0.9200
0.7500 0.4153 0.4156
```

Values from the calculation:
spin magnetization: 0.001 μB/cell
space-group type: Pmmn (59)
final energy: -100.6 eV for the cell shown
Fermi-level density of states: 14.1 states/eV per cell

=====

Record 4
The following is a DFT calculation (PBE) of a relaxed structure of RbUPdSe4.

```
RbUPdSe4
1.0
7.1627 0.0000 0.0000
0.0000 5.7685 0.0000
-2.9413 0.0000 9.2293
Rb U Pd Se
2 2 2 8
direct
0.2354 0.2500 0.0514
0.7646 0.7500 0.9486
0.2707 0.2500 0.5509
0.7293 0.7500 0.4491
0.2533 0.7500 0.3271
0.7467 0.2500 0.6729
0.0296 0.5143 0.6918
0.0296 0.9857 0.6918
0.4366 0.7500 0.5886
0.4833 0.7500 0.1778
0.5167 0.2500 0.8222
0.5634 0.2500 0.4114
0.9704 0.0143 0.3082
0.9704 0.4857 0.3082
```

Values from the calculation:
spin magnetization: 0.821 μB/cell
space-group type: P2_1/m (11)
formation energy from raw total energies: -0.853 eV/atom
Fermi-level density of states: 11.3 states/eV per cell

=====

Record 5
The following is a DFT calculation (PBE) of a relaxed structure of TiGa2HW.

```
TiGa2HW
1.0
4.9729 0.0000 0.0000
0.0000 4.9729 0.0000
0.0000 0.0000 4.6764
Ti Ga H W
1 2 1 1
direct
0.0000 0.0000 0.0000
0.0000 0.5000 0.5000
0.5000 0.0000 0.5000
0.5000 0.5000 0.0000
0.0000 0.0000 0.5000
```

Values from the calculation:
spin magnetization: 0.389 μB/cell
space-group type: P4/mmm (123)
final energy: -24.7 eV for the cell shown
Fermi-level density of states: 3.3 states/eV per cell

=====

Record 6
The following is a DFT calculation (PBE) of a relaxed structure of InRu2Se.

```
InRu2Se
1.0
-1.9829 1.9829 4.2630
1.9829 -1.9829 4.2630
1.9829 1.9829 -4.2630
In Ru Se
1 2 1
direct
0.0000 0.0000 0.0000
0.2500 0.7500 0.5000
0.5000 0.5000 0.0000
0.7500 0.2500 0.5000
```

Values from the calculation:
spin magnetization: 0.112 μB/cell
polymorph energy (0 for the lowest one): 0.3511 eV per atom
space-group type: I-4m2 (119)
formation energy from raw total energies: 0.489 eV/atom
Fermi-level density of states: 6.4 states/eV per cell

=====

Record 7
The following is a DFT calculation (PBE) of a relaxed structure of CaTl3Re.

```
CaTl3Re
1.0
5.3428 0.0000 0.0000
0.0000 5.3428 0.0000
0.0000 0.0000 5.3428
Ca Tl Re
1 3 1
direct
0.0000 0.0000 0.0000
0.0000 0.5000 0.5000
0.5000 0.0000 0.5000
0.5000 0.5000 0.0000
0.5000 0.5000 0.5000
```

Values from the calculation:
spin magnetization: 0.000 μB/cell
polymorph energy (0 for the lowest one): 0.0000 eV per atom
space-group type: Pm-3m (221)
Fermi-level density of states: 2.6 states/eV per cell

=====

Record 8
The following is a DFT calculation (PBE) of a relaxed structure of SrIr3Cl.

```
SrIr3Cl
1.0
4.5872 0.0000 0.0000
0.0000 4.5872 0.0000
0.0000 0.0000 4.5872
Sr Ir Cl
1 3 1
direct
0.0000 0.0000 0.0000
0.0000 0.5000 0.5000
0.5000 0.0000 0.5000
0.5000 0.5000 0.0000
0.5000 0.5000 0.5000
```

Values from the calculation:
spin magnetization: 0.000 μB/cell
polymorph energy (0 for the lowest one): 0.0000 eV per atom
space-group type: Pm-3m (221)
formation energy from raw total energies: 0.954 eV/atom
Fermi-level density of states: 6.6 states/eV per cell

=====

Record 9
The following is a DFT calculation (PBE) of a relaxed structure of InCoBRh2.

```
InCoBRh2
1.0
4.1335 0.0000 0.0000
0.0000 4.1335 0.0000
0.0000 0.0000 3.9491
In Co B Rh
1 1 1 2
direct
0.0000 0.0000 0.0000
0.5000 0.5000 0.0000
0.5000 0.5000 0.5000
0.0000 0.5000 0.5000
0.5000 0.0000 0.5000
```

Values from the calculation:
spin magnetization: 1.021 μB/cell
space-group type: P4/mmm (123)
final energy: -32.6 eV for the cell shown
Fermi-level density of states: 3.0 states/eV per cell

=====

Record 10
The following is a DFT calculation (PBE) of a relaxed structure of SmTmMg17.

```
SmTmMg17
1.0
5.1088 2.9496 5.0758
-5.1088 2.9496 5.0758
0.0000 -5.8992 5.0758
Sm Tm Mg
1 1 17
direct
0.0000 0.0000 0.0000
0.3425 0.3425 0.3425
0.0252 0.0252 0.5071
0.0252 0.5071 0.0252
0.1680 0.6739 0.6739
0.3184 0.3184 0.8275
0.3184 0.8275 0.3184
0.3677 0.6687 0.9756
0.3677 0.9756 0.6687
0.5071 0.0252 0.0252
0.5697 0.5697 0.5697
0.6687 0.3677 0.9756
0.6687 0.9756 0.3677
0.6739 0.1680 0.6739
0.6739 0.6739 0.1680
0.7685 0.7685 0.7685
0.8275 0.3184 0.3184
0.9756 0.3677 0.6687
0.9756 0.6687 0.3677
```

Values from the calculation:
spin magnetization: 0.000 μB/cell
space-group type: R3m (160)
final energy: -36.6 eV for the cell shown
Fermi-level density of states: 8.5 states/eV per cell